# 1
First-principles (PBE) data for an optimized crystal structure of Ba2InSb2, as listed in the Alexandria database.

Values from the calculation:
As for the polymorph energy (0 for the lowest one): 23.6 kJ/mol of atoms. The calculation puts the raw formation energy at -537 meV/atom. For the electronic total energy, the calculation gives -35.03 eV for the cell shown.

a = 9.979 Å, b = 9.979 Å, c = 3.940 Å
α = 90.00°, β = 90.00°, γ = 90.00°
Fractional positions:
1 Ba 0.134 0.366 0.000
2 Ba 0.366 0.866 0.000
3 Ba 0.634 0.134 0.000
4 Ba 0.866 0.634 0.000
5 In 0.000 0.000 0.000
6 In 0.500 0.500 0.000
7 Sb 0.167 0.667 0.500
8 Sb 0.333 0.167 0.500
9 Sb 0.667 0.833 0.500
10 Sb 0.833 0.333 0.500

=====

# 2
First-principles (PBE) data for an optimized crystal structure of Ba2InSb, as listed in the Alexandria database.

Values from the calculation:
As for the polymorph energy (0 for the lowest one): 9.7 kJ/mol of atoms. The calculation puts the raw formation energy at -631 meV/atom. For the electronic total energy, the calculation gives -13.23 eV for the cell shown.

a = 6.346 Å, b = 6.346 Å, c = 6.346 Å
α = 128.92°, β = 128.92°, γ = 75.14°
Fractional positions:
1 Ba 0.250 0.750 0.500
2 Ba 0.750 0.250 0.500
3 In 0.000 0.000 0.000
4 Sb 0.500 0.500 0.000

=====

# 3
First-principles (PBE) data for an optimized crystal structure of BaInSb, as listed in the Alexandria database.

Values from the calculation:
As for the polymorph energy (0 for the lowest one): 4.2 kJ/mol of atoms. The calculation puts the raw formation energy at -670 meV/atom. For the electronic total energy, the calculation gives -21.59 eV for the cell shown.

a = 6.876 Å, b = 6.876 Å, c = 7.117 Å
α = 106.95°, β = 106.95°, γ = 42.73°
Fractional positions:
1 Ba 0.000 0.000 0.000
2 Ba 0.635 0.635 0.571
3 In 0.342 0.342 0.123
4 In 0.912 0.912 0.455
5 Sb 0.345 0.345 0.665
6 Sb 0.705 0.705 0.106

=====

# 4
First-principles (PBE) data for an optimized crystal structure of BaInSb, as listed in the Alexandria database.

Values from the calculation:
As for the polymorph energy (0 for the lowest one): 29.2 kJ/mol of atoms. The calculation puts the raw formation energy at -410 meV/atom. For the electronic total energy, the calculation gives -10.01 eV for the cell shown.

a = 5.489 Å, b = 5.489 Å, c = 5.489 Å
α = 60.00°, β = 60.00°, γ = 60.00°
Fractional positions:
1 Ba 0.000 0.000 0.000
2 In 0.250 0.250 0.250
3 Sb 0.500 0.500 0.500